The following is a PBE calculation of a geometry-optimized NaAl2Os4 structure, from Alexandria.

The structure in POSCAR format:
```
NaAl2Os4
1.0
-2.207 2.207 6.188
2.207 -2.207 6.188
2.207 2.207 -6.188
Na Al Os
1 2 4
Direct
0.000 0.000 0.000
0.384 0.384 0.000
0.616 0.616 0.000
0.000 0.500 0.500
0.190 0.190 0.000
0.500 0.000 0.500
0.810 0.810 0.000
```

Results
Uncorrected energy in eV per atom: -5.673
Formation enthalpy at 0 K in eV per atom: 2.002
Size of the total moment in μB/f.u.: 0.68